Entry from OQMD: an optimized crystal structure of ZnIr15 (PBE).

Geometry as POSCAR:
```
ZnIr15
1.0
-2.413 0.646 -7.320
-41.702 -5.792 13.239
-0.383 3.820 0.463
Zn Ir
4 60
direct
0.136 0.329 0.500 Zn
0.136 0.671 0.000 Zn
0.864 0.671 0.500 Zn
0.864 0.329 0.000 Zn
0.375 0.066 0.000 Ir
0.375 0.241 0.000 Ir
0.626 0.846 0.000 Ir
0.377 0.673 0.500 Ir
0.125 0.242 0.500 Ir
0.876 0.846 0.500 Ir
0.875 0.934 0.500 Ir
0.625 0.934 0.000 Ir
0.875 0.242 0.000 Ir
0.876 0.154 0.000 Ir
0.625 0.022 0.000 Ir
0.874 0.198 0.500 Ir
0.126 0.802 0.500 Ir
0.624 0.803 0.500 Ir
0.124 0.846 0.000 Ir
0.375 0.934 0.500 Ir
0.625 0.715 0.500 Ir
0.875 0.758 0.500 Ir
0.375 0.978 0.000 Ir
0.626 0.154 0.500 Ir
0.125 0.978 0.500 Ir
0.375 0.110 0.500 Ir
0.625 0.978 0.500 Ir
0.625 0.066 0.500 Ir
0.875 0.066 0.000 Ir
0.623 0.327 0.500 Ir
0.375 0.759 0.500 Ir
0.374 0.154 0.000 Ir
0.625 0.285 0.000 Ir
0.375 0.715 0.000 Ir
0.877 0.715 0.000 Ir
0.125 0.110 0.000 Ir
0.875 0.110 0.500 Ir
0.377 0.327 0.000 Ir
0.123 0.715 0.500 Ir
0.625 0.241 0.500 Ir
0.624 0.197 0.000 Ir
0.125 0.066 0.500 Ir
0.126 0.198 0.000 Ir
0.376 0.197 0.500 Ir
0.875 0.022 0.500 Ir
0.125 0.890 0.500 Ir
0.625 0.890 0.500 Ir
0.376 0.803 0.000 Ir
0.625 0.759 0.000 Ir
0.875 0.978 0.000 Ir
0.124 0.154 0.500 Ir
0.877 0.285 0.500 Ir
0.623 0.673 0.000 Ir
0.375 0.022 0.500 Ir
0.125 0.022 0.000 Ir
0.125 0.934 0.000 Ir
0.374 0.846 0.500 Ir
0.875 0.890 0.000 Ir
0.874 0.802 0.000 Ir
0.375 0.285 0.500 Ir
0.625 0.110 0.000 Ir
0.125 0.758 0.000 Ir
0.123 0.285 0.000 Ir
0.375 0.890 0.000 Ir
```

## Properties
The value obtained for the energy above the most stable polymorph in this dataset is 0.0 kJ/mol of atoms. The electronic total energy is -8.2777 eV/atom.